(1)
First-principles (PBE) data for a relaxed Th4BSe3 crystal, as listed in Alexandria via LeMat-Bulk.

Values from the calculation:
**N(E_F)**: 4.30 states/eV/cell
**ρ**: 9.543 g cm⁻³
**Uncorrected energy**: -57.0 eV for the cell shown
**E_form (uncorrected)**: -10.2 eV per formula unit

Cell: 4.096 7.260 7.260 Å, 108.64 90.00 90.00°
Atoms (fractional coordinates):
Th 0.000 0.783 0.783
Th 0.500 0.768 0.232
Th 0.500 0.232 0.768
Th 0.000 0.217 0.217
Se 0.000 0.000 0.500
Se 0.500 0.500 0.500
Se 0.000 0.500 0.000
B 0.500 0.000 0.000

=====

(2)
First-principles (PBE) data for a relaxed ThBSe2 crystal, as listed in Alexandria via LeMat-Bulk.

Values from the calculation:
**N(E_F)**: 3.43 states/eV/cell
**ρ**: 7.952 g cm⁻³
**Uncorrected energy**: -20.0 eV for the cell shown
**E_form (uncorrected)**: 1.1 eV per formula unit

Cell: 3.366 3.366 8.747 Å, 78.91 78.91 60.00°
Atoms (fractional coordinates):
Se 0.116 0.116 0.651
Se 0.884 0.884 0.349
B 0.500 0.500 0.500
Th 0.000 0.000 0.000

=====

(3)
First-principles (PBE) data for a relaxed Th2BSe crystal, as listed in Alexandria via LeMat-Bulk.

Values from the calculation:
**N(E_F)**: 2.54 states/eV/cell
**ρ**: 9.377 g cm⁻³
**Uncorrected energy**: -28.8 eV for the cell shown
**E_form (uncorrected)**: -3.8 eV per formula unit

Cell: 4.022 4.022 7.376 Å, 74.18 74.18 60.00°
Atoms (fractional coordinates):
Th 0.264 0.264 0.209
Th 0.736 0.736 0.791
Se 0.500 0.500 0.500
B 0.000 0.000 0.000

=====

(4)
First-principles (PBE) data for a relaxed Th4BSe5 crystal, as listed in Alexandria via LeMat-Bulk.

Values from the calculation:
**N(E_F)**: 3.00 states/eV/cell
**ρ**: 7.382 g cm⁻³
**Uncorrected energy**: -67.2 eV for the cell shown
**E_form (uncorrected)**: -13.4 eV per formula unit

Cell: 4.191 8.157 9.316 Å, 104.43 103.00 90.00°
Atoms (fractional coordinates):
Th 0.340 0.900 0.681
Th 0.660 0.100 0.319
Th 0.001 0.765 0.001
Th 0.999 0.235 0.999
Se 0.500 0.500 0.000
Se 0.166 0.345 0.331
Se 0.169 0.845 0.339
Se 0.831 0.155 0.661
Se 0.834 0.655 0.669
B 0.500 0.000 0.000

=====

(5)
First-principles (PBE) data for a relaxed Ti2BSe crystal, as listed in Alexandria via LeMat-Bulk.

Values from the calculation:
**N(E_F)**: 5.47 states/eV/cell
**ρ**: 4.097 g cm⁻³
**Uncorrected energy**: -53.6 eV for the cell shown
**E_form (uncorrected)**: -0.8 eV per formula unit

Cell: 5.364 5.364 6.458 Å, 65.46 65.46 90.00°
Atoms (fractional coordinates):
Se 0.000 0.000 0.000
Se 0.750 0.250 0.500
Ti 0.557 0.125 0.250
Ti 0.193 0.625 0.250
Ti 0.375 0.443 0.750
Ti 0.875 0.807 0.750
B 0.250 0.750 0.500
B 0.500 0.500 0.000

=====

(6)
First-principles (PBE) data for a relaxed TiBSe2 crystal, as listed in Alexandria via LeMat-Bulk.

Values from the calculation:
**N(E_F)**: 5.45 states/eV/cell
**ρ**: 4.870 g cm⁻³
**Uncorrected energy**: -21.3 eV for the cell shown
**E_form (uncorrected)**: 0.2 eV per formula unit

Cell: 7.367 7.367 7.367 Å, 27.23 27.23 27.23°
Atoms (fractional coordinates):
Ti 0.500 0.500 0.500
Se 0.910 0.910 0.910
Se 0.090 0.090 0.090
B 0.000 0.000 0.000